Record 1
Density functional theory data (PBE) for a relaxed structure of BaSrLa2Pt.

a = 5.7785 Å, b = 5.7785 Å, c = 6.5183 Å
α = 90.00°, β = 90.00°, γ = 90.00°
Fractional coordinates of all 5 atoms:
Ba (0.0000, 0.0000, 0.0000)
Sr (0.5000, 0.5000, 0.0000)
La (0.0000, 0.5000, 0.5000)
La (0.5000, 0.0000, 0.5000)
Pt (0.0000, 0.0000, 0.5000)

Calculated values
**DFT total energy**: -4.26 eV per atom
**Magnetic moment**: 0.000 μB/f.u.
**V**: 43.53 Å³ per atom
**Offset from the most stable computed form**: 48 meV/atom
**SG**: P4/mmm
**Energy of formation from the pure elements**: -0.360 eV/atom

=====

Record 2
Density functional theory data (PBE) for a relaxed structure of Ba2LaTlPt.

a = 6.2854 Å, b = 6.2854 Å, c = 5.5125 Å
α = 90.00°, β = 90.00°, γ = 90.00°
Fractional coordinates of all 5 atoms:
Ba (0.0000, 0.5000, 0.0000)
Ba (0.5000, 0.0000, 0.0000)
La (0.0000, 0.0000, 0.5000)
Tl (0.5000, 0.5000, 0.5000)
Pt (0.0000, 0.0000, 0.0000)

Calculated values
**DFT total energy**: -3.83 eV per atom
**Magnetic moment**: 0.469 μB/f.u.
**V**: 43.56 Å³ per atom
**SG**: P4/mmm
**Energy of formation from the pure elements**: -0.392 eV/atom

=====

Record 3
Density functional theory data (PBE) for a relaxed structure of BaLaY2Pt.

a = 5.7198 Å, b = 5.7198 Å, c = 5.6800 Å
α = 90.00°, β = 90.00°, γ = 90.00°
Fractional coordinates of all 5 atoms:
Ba (0.0000, 0.0000, 0.0000)
La (0.5000, 0.5000, 0.0000)
Y (0.0000, 0.5000, 0.5000)
Y (0.5000, 0.0000, 0.5000)
Pt (0.5000, 0.5000, 0.5000)

Calculated values
**DFT total energy**: -5.57 eV per atom
**Magnetic moment**: 0.000 μB/f.u.
**V**: 37.17 Å³ per atom
**SG**: P4/mmm
**Energy of formation from the pure elements**: -0.402 eV/atom

=====

Record 4
Density functional theory data (PBE) for a relaxed structure of Ba2LaPuS6.

a = 7.2945 Å, b = 7.6271 Å, c = 12.7438 Å
α = 90.00°, β = 124.57°, γ = 90.00°
Fractional coordinates of all 20 atoms:
Ba (0.2310, 0.0644, 0.2500)
Ba (0.2310, 0.4356, 0.7500)
Ba (0.7690, 0.5644, 0.2500)
Ba (0.7690, 0.9356, 0.7500)
La (0.5000, 0.0000, 0.0000)
La (0.5000, 0.5000, 0.5000)
Pu (0.0000, 0.0000, 0.5000)
Pu (0.0000, 0.5000, 0.0000)
S (0.1371, 0.2137, 0.9481)
S (0.1371, 0.2863, 0.4481)
S (0.2387, 0.6923, 0.9514)
S (0.2387, 0.8077, 0.4514)
S (0.3325, 0.0281, 0.7384)
S (0.3325, 0.4719, 0.2384)
S (0.6675, 0.5281, 0.7616)
S (0.6675, 0.9719, 0.2616)
S (0.7613, 0.1923, 0.5486)
S (0.7613, 0.3077, 0.0486)
S (0.8629, 0.7137, 0.5519)
S (0.8629, 0.7863, 0.0519)

Calculated values
**DFT total energy**: -6.57 eV per atom
**Magnetic moment**: 3.000 μB/f.u.
**V**: 29.19 Å³ per atom
**SG**: P2_1/c

=====

Record 5
Density functional theory data (PBE) for a relaxed structure of Ba3La2PuTe6.

a = 10.6982 Å, b = 10.6982 Å, c = 9.5969 Å
α = 104.37°, β = 104.37°, γ = 25.46°
Fractional coordinates of all 12 atoms:
Ba (0.0000, 0.0000, 0.0000)
Ba (0.3329, 0.3329, 0.6663)
Ba (0.6671, 0.6671, 0.3337)
La (0.3346, 0.3346, 0.1688)
La (0.6654, 0.6654, 0.8312)
Pu (0.0000, 0.0000, 0.5000)
Te (0.1601, 0.1601, 0.5940)
Te (0.1719, 0.1719, 0.0711)
Te (0.4957, 0.4957, 0.2679)
Te (0.5043, 0.5043, 0.7321)
Te (0.8281, 0.8281, 0.9289)
Te (0.8399, 0.8399, 0.4060)

Calculated values
**DFT total energy**: -5.63 eV per atom
**Magnetic moment**: 6.111 μB/f.u.
**V**: 38.05 Å³ per atom
**SG**: C2/m

=====

Record 6
Density functional theory data (PBE) for a relaxed structure of RbBaLa2.

a = 6.4874 Å, b = 6.4874 Å, c = 6.4874 Å
α = 60.00°, β = 60.00°, γ = 60.00°
Fractional coordinates of all 4 atoms:
Rb (0.0000, 0.0000, 0.0000)
Ba (0.5000, 0.5000, 0.5000)
La (0.2500, 0.2500, 0.2500)
La (0.7500, 0.7500, 0.7500)

Calculated values
**DFT total energy**: -2.64 eV per atom
**Magnetic moment**: 0.000 μB/f.u.
**V**: 48.26 Å³ per atom
**Offset from the most stable computed form**: 0 meV/atom
**SG**: Fm-3m
**Energy of formation from the pure elements**: 0.544 eV/atom

=====

Record 7
Density functional theory data (PBE) for a relaxed structure of RbBaLa3.

a = 6.0989 Å, b = 6.0989 Å, c = 6.0989 Å
α = 90.00°, β = 90.00°, γ = 90.00°
Fractional coordinates of all 5 atoms:
Rb (0.0000, 0.0000, 0.0000)
Ba (0.5000, 0.5000, 0.5000)
La (0.0000, 0.0000, 0.5000)
La (0.0000, 0.5000, 0.0000)
La (0.5000, 0.0000, 0.0000)

Calculated values
**DFT total energy**: -2.70 eV per atom
**Magnetic moment**: 0.000 μB/f.u.
**V**: 45.37 Å³ per atom
**Offset from the most stable computed form**: 92 meV/atom
**SG**: Pm-3m
**Energy of formation from the pure elements**: 0.835 eV/atom

=====

Record 8
Density functional theory data (PBE) for a relaxed structure of RbBaLa3.

a = 6.2645 Å, b = 6.2645 Å, c = 6.2645 Å
α = 90.00°, β = 90.00°, γ = 90.00°
Fractional coordinates of all 5 atoms:
Rb (0.0000, 0.0000, 0.0000)
Ba (0.5000, 0.5000, 0.5000)
La (0.0000, 0.5000, 0.5000)
La (0.5000, 0.0000, 0.5000)
La (0.5000, 0.5000, 0.0000)

Calculated values
**DFT total energy**: -2.79 eV per atom
**Magnetic moment**: 0.000 μB/f.u.
**V**: 49.17 Å³ per atom
**Offset from the most stable computed form**: 0 meV/atom
**SG**: Pm-3m
**Energy of formation from the pure elements**: 0.742 eV/atom